[1]
# MoF5 | Alexandria via LeMat-Bulk | GGA-PBEsol | relaxed
data_MoF5
_chemical_formula_sum 'Mo4 F20'
_cell_length_a 5.312
_cell_length_b 8.606
_cell_length_c 8.606
_cell_angle_alpha 111.76
_cell_angle_beta 92.10
_cell_angle_gamma 92.10
_space_group_name_H-M_alt 'P 1'
_space_group_IT_number 1
_space_group_name_Hall 'P 1'
loop_
_atom_site_label
_atom_site_type_symbol
_atom_site_fract_x
_atom_site_fract_y
_atom_site_fract_z
F1 F 0.116 0.591 0.176
F2 F 0.350 0.535 0.719
F3 F 0.876 0.228 0.026
F4 F 0.116 0.176 0.591
F5 F 0.124 0.974 0.772
F6 F 0.302 0.915 0.281
F7 F 0.475 0.139 0.139
F8 F 0.085 0.326 0.326
F9 F 0.915 0.674 0.674
F10 F 0.698 0.085 0.719
F11 F 0.350 0.719 0.535
F12 F 0.698 0.719 0.085
F13 F 0.525 0.861 0.861
F14 F 0.124 0.772 0.974
F15 F 0.884 0.409 0.824
F16 F 0.302 0.281 0.915
F17 F 0.876 0.026 0.228
F18 F 0.650 0.465 0.281
F19 F 0.650 0.281 0.465
F20 F 0.884 0.824 0.409
Mo1 Mo 0.000 0.202 0.798
Mo2 Mo 0.756 0.258 0.258
Mo3 Mo 0.244 0.742 0.742
Mo4 Mo 0.000 0.798 0.202
# Formation energy without anion corrections: -2.4687 eV/atom

---

[2]
# MoRhN2F | Alexandria via LeMat-Bulk | GGA-PBEsol | relaxed
data_MoRhN2F
_chemical_formula_sum 'Mo1 Rh1 N2 F1'
_cell_length_a 3.877
_cell_length_b 3.877
_cell_length_c 3.832
_cell_angle_alpha 90.00
_cell_angle_beta 90.00
_cell_angle_gamma 90.00
_space_group_name_H-M_alt 'P 1'
_space_group_IT_number 1
_space_group_name_Hall 'P 1'
loop_
_atom_site_label
_atom_site_type_symbol
_atom_site_fract_x
_atom_site_fract_y
_atom_site_fract_z
F1 F 0.000 0.000 0.500
Mo1 Mo 0.500 0.500 0.500
N1 N 0.500 0.000 0.000
N2 N 0.000 0.500 0.000
Rh1 Rh 0.000 0.000 0.000
# Formation energy without anion corrections: 0.8855 eV/atom

---

[3]
# MoRhNF2 | Alexandria via LeMat-Bulk | GGA-PBEsol | relaxed
data_MoRhNF2
_chemical_formula_sum 'Mo1 Rh1 N1 F2'
_cell_length_a 3.704
_cell_length_b 4.231
_cell_length_c 4.231
_cell_angle_alpha 90.00
_cell_angle_beta 90.00
_cell_angle_gamma 90.00
_space_group_name_H-M_alt 'P 1'
_space_group_IT_number 1
_space_group_name_Hall 'P 1'
loop_
_atom_site_label
_atom_site_type_symbol
_atom_site_fract_x
_atom_site_fract_y
_atom_site_fract_z
F1 F 0.000 0.500 0.000
F2 F 0.000 0.000 0.500
Mo1 Mo 0.500 0.500 0.500
N1 N 0.500 0.000 0.000
Rh1 Rh 0.000 0.000 0.000
# Formation energy without anion corrections: 0.3012 eV/atom

---

[4]
# MoSNF2 | Alexandria via LeMat-Bulk | GGA-PBEsol | relaxed
data_MoSNF2
_chemical_formula_sum 'Mo1 S1 N1 F2'
_cell_length_a 3.894
_cell_length_b 4.036
_cell_length_c 4.036
_cell_angle_alpha 90.00
_cell_angle_beta 90.00
_cell_angle_gamma 90.00
_space_group_name_H-M_alt 'P 1'
_space_group_IT_number 1
_space_group_name_Hall 'P 1'
loop_
_atom_site_label
_atom_site_type_symbol
_atom_site_fract_x
_atom_site_fract_y
_atom_site_fract_z
S1 S 0.500 0.500 0.500
F1 F 0.000 0.000 0.500
F2 F 0.000 0.500 0.000
N1 N 0.500 0.000 0.000
Mo1 Mo 0.000 0.000 0.000
# Formation energy without anion corrections: -0.4388 eV/atom

---

[5]
# ScMoNF2 | Alexandria via LeMat-Bulk | GGA-PBEsol | relaxed
data_ScMoNF2
_chemical_formula_sum 'Sc1 Mo1 N1 F2'
_cell_length_a 3.873
_cell_length_b 3.873
_cell_length_c 4.471
_cell_angle_alpha 90.00
_cell_angle_beta 90.00
_cell_angle_gamma 90.00
_space_group_name_H-M_alt 'P 1'
_space_group_IT_number 1
_space_group_name_Hall 'P 1'
loop_
_atom_site_label
_atom_site_type_symbol
_atom_site_fract_x
_atom_site_fract_y
_atom_site_fract_z
Sc1 Sc 0.000 0.000 0.000
N1 N 0.000 0.000 0.500
Mo1 Mo 0.500 0.500 0.500
F1 F 0.000 0.500 0.000
F2 F 0.500 0.000 0.000
# Formation energy without anion corrections: -1.1511 eV/atom

---

[6]
# ScMoN2F | Alexandria via LeMat-Bulk | GGA-PBEsol | relaxed
data_ScMoN2F
_chemical_formula_sum 'Sc1 Mo1 N2 F1'
_cell_length_a 3.880
_cell_length_b 3.937
_cell_length_c 3.937
_cell_angle_alpha 90.00
_cell_angle_beta 90.00
_cell_angle_gamma 90.00
_space_group_name_H-M_alt 'P 1'
_space_group_IT_number 1
_space_group_name_Hall 'P 1'
loop_
_atom_site_label
_atom_site_type_symbol
_atom_site_fract_x
_atom_site_fract_y
_atom_site_fract_z
Mo1 Mo 0.000 0.000 0.000
N1 N 0.000 0.000 0.500
N2 N 0.000 0.500 0.000
Sc1 Sc 0.500 0.500 0.500
F1 F 0.500 0.000 0.000
# Formation energy without anion corrections: -0.8914 eV/atom